The following is a GGA-PBE calculation of a relaxed ThZnI crystal, from Alexandria via LeMat-Bulk.

Computed properties:
DFT total energy	-3.63	eV/atom
magnetization	0.0	μB/f.u.

Unit cell a=16.459 b=3.820 c=6.170 alpha=90.00 beta=109.31 gamma=90.00
Space group C2/m (No. 12)
Symmetry-distinct sites (fractional):
Th: 0.240 0.000 0.244 [4 per cell]
Zn: 0.103 0.000 0.751 [4 per cell]
I: 0.087 0.500 0.299 [4 per cell]